A plane-wave DFT calculation with GGA-PBE was carried out for a geometry-optimized CaSi2Os structure.

For the density of states at the Fermi level, the calculation gives 3.06 states/eV/cell. Its energy relative to the elements, uncorrected is 0.0121 eV per atom. The electronic total energy comes out at -48.06 eV for the cell shown.

The structure belongs to space group Immm (No. 71); the cell edges are 3.0326, 5.5114 and 8.9614 Å and the angles 90.00°, 90.00° and 90.00°. The distinct sites, in fractional coordinates, are Ca at (0.0000, 0.0000, 0.0000), Si at (0.0000, 0.5000, 0.2093) and Os at (0.0000, 0.0000, 0.5000).